The following is a DFT calculation (GGA+U) of Ni6OF11 after structural relaxation.

```
18
Lattice="5.634 -0.001 0.003 1.673 5.380 0.003 2.171 1.598 6.793" Properties=species:S:1:pos:R:3 pbc="T T T"
Ni 2.794 2.056 1.131
Ni 5.597 4.119 2.313
Ni 3.936 2.897 4.541
Ni 1.090 0.803 3.393
Ni 6.649 4.894 5.633
Ni 9.464 6.966 6.793
O 5.510 4.055 4.284
F 6.793 2.481 2.267
F 5.104 1.235 4.540
F 2.291 1.686 4.760
F 5.663 4.169 0.256
F 3.967 2.920 2.505
F 7.213 5.309 2.024
F 3.782 2.784 6.558
F 6.596 3.219 6.791
F 4.388 5.749 2.267
F 2.696 4.506 4.540
F 5.034 5.341 6.791
```

Summary:
The calculation puts the total energy at -4.2794 eV per atom. The crystal system is monoclinic.